Entry 1:
Below is crystalline Cu6BiSe6 at its relaxed geometry, with properties calculated at the GGA-PBE level.

a b c (Å): 9.667 4.022 27.277
angles (deg): 90.00 90.00 90.00
Positions (direct):
Cu: 0.025 0.250 0.116
Cu: 0.069 0.250 0.023
Cu: 0.082 0.250 0.496
Cu: 0.152 0.250 0.259
Cu: 0.189 0.250 0.786
Cu: 0.216 0.750 0.446
Cu: 0.284 0.250 0.946
Cu: 0.311 0.750 0.286
Cu: 0.348 0.750 0.759
Cu: 0.418 0.750 0.996
Cu: 0.431 0.750 0.523
Cu: 0.475 0.750 0.616
Cu: 0.525 0.250 0.384
Cu: 0.569 0.250 0.477
Cu: 0.582 0.250 0.004
Cu: 0.652 0.250 0.241
Cu: 0.689 0.250 0.714
Cu: 0.716 0.750 0.054
Cu: 0.784 0.250 0.554
Cu: 0.811 0.750 0.214
Cu: 0.848 0.750 0.741
Cu: 0.918 0.750 0.504
Cu: 0.931 0.750 0.977
Cu: 0.975 0.750 0.884
Bi: 0.104 0.250 0.639
Bi: 0.396 0.750 0.139
Bi: 0.604 0.250 0.861
Bi: 0.896 0.750 0.361
Se: 0.012 0.750 0.268
Se: 0.030 0.250 0.935
Se: 0.133 0.250 0.400
Se: 0.169 0.750 0.536
Se: 0.185 0.750 0.833
Se: 0.212 0.250 0.172
Se: 0.288 0.750 0.672
Se: 0.315 0.250 0.333
Se: 0.331 0.250 0.036
Se: 0.367 0.750 0.900
Se: 0.470 0.750 0.435
Se: 0.488 0.250 0.768
Se: 0.512 0.750 0.232
Se: 0.530 0.250 0.565
Se: 0.633 0.250 0.100
Se: 0.669 0.750 0.964
Se: 0.685 0.750 0.667
Se: 0.712 0.250 0.328
Se: 0.788 0.750 0.828
Se: 0.815 0.250 0.167
Se: 0.831 0.250 0.464
Se: 0.867 0.750 0.600
Se: 0.970 0.750 0.065
Se: 0.988 0.250 0.732

ρ in g/cm3: 6.66
ΔE_f (raw) in eV/atom: -0.17

***

Entry 2:
Below is crystalline CuBiSe3 at its relaxed geometry, with properties calculated at the GGA-PBE level.

a b c (Å): 8.030 8.030 8.049
angles (deg): 106.51 106.51 34.15
Positions (direct):
Cu: 0.157 0.157 0.382
Cu: 0.843 0.843 0.618
Bi: 0.358 0.358 0.175
Bi: 0.642 0.642 0.825
Se: 0.005 0.005 0.652
Se: 0.163 0.163 0.065
Se: 0.322 0.322 0.510
Se: 0.678 0.678 0.490
Se: 0.837 0.837 0.935
Se: 0.995 0.995 0.348

Energy above the most stable polymorph in this dataset in meV per atom: 0
ρ in g/cm3: 6.08
ΔE_f (raw) in eV/atom: -0.16

***

Entry 3:
Below is crystalline CuBiSe2 at its relaxed geometry, with properties calculated at the GGA-PBE level.

a b c (Å): 7.102 4.022 6.846
angles (deg): 90.00 111.33 90.00
Positions (direct):
Cu: 0.000 0.000 0.000
Cu: 0.500 0.500 0.000
Bi: 0.000 0.500 0.500
Bi: 0.500 0.000 0.500
Se: 0.229 0.500 0.212
Se: 0.271 0.000 0.788
Se: 0.729 0.000 0.212
Se: 0.771 0.500 0.788

ρ in g/cm3: 7.85
ΔE_f (raw) in eV/atom: -0.18

***

Entry 4:
Below is crystalline CuBi2Se at its relaxed geometry, with properties calculated at the GGA-PBE level.

a b c (Å): 6.264 6.264 13.175
angles (deg): 90.00 90.00 90.00
Positions (direct):
Cu: 0.000 0.000 0.000
Cu: 0.000 0.500 0.250
Cu: 0.500 0.000 0.750
Cu: 0.500 0.500 0.500
Bi: 0.206 0.250 0.125
Bi: 0.250 0.706 0.375
Bi: 0.250 0.794 0.875
Bi: 0.294 0.250 0.625
Bi: 0.706 0.750 0.625
Bi: 0.750 0.206 0.875
Bi: 0.750 0.294 0.375
Bi: 0.794 0.750 0.125
Se: 0.000 0.000 0.500
Se: 0.000 0.500 0.750
Se: 0.500 0.000 0.250
Se: 0.500 0.500 0.000

Energy above the most stable polymorph in this dataset in meV per atom: 0
ρ in g/cm3: 7.20
ΔE_f (raw) in eV/atom: 0.19

***

Question: What is the formula in the fourth record?
Answer: CuBi2Se

***

Please write out number 3 again, unchanged.
Below is crystalline CuBiSe2 at its relaxed geometry, with properties calculated at the GGA-PBE level.

a b c (Å): 7.102 4.022 6.846
angles (deg): 90.00 111.33 90.00
Positions (direct):
Cu: 0.000 0.000 0.000
Cu: 0.500 0.500 0.000
Bi: 0.000 0.500 0.500
Bi: 0.500 0.000 0.500
Se: 0.229 0.500 0.212
Se: 0.271 0.000 0.788
Se: 0.729 0.000 0.212
Se: 0.771 0.500 0.788

ρ in g/cm3: 7.85
ΔE_f (raw) in eV/atom: -0.18

***

Question: The highest ρ belongs to which entry?
Answer: CuBiSe2